*1*
This record from Alexandria describes crystalline CaCoSe2 at its relaxed geometry. The functional is PBE. Values from VASP.

Computed properties:
The volume comes out at 81.0 Å³ per cell. For the total magnetization, the calculation gives 1.939 Bohr magnetons per cell.

Structure (Quantum ESPRESSO input):
```
&SYSTEM
  ibrav = 0, nat = 4, ntyp = 3
/
ATOMIC_SPECIES
Co 58.93 Co.upf
Se 78.96 Se.upf
Ca 40.08 Ca.upf
CELL_PARAMETERS angstrom
4.8567 0.0000 0.0000
2.4284 4.2061 0.0000
2.4284 1.4020 3.9655
ATOMIC_POSITIONS crystal
Co 0.7500 0.7500 0.7500
Se 0.2500 0.2500 0.2500
Ca 0.5000 0.5000 0.5000
Se 0.0000 0.0000 0.0000
```

---

*2*
This record from Alexandria describes crystalline CaCoSe2 at its relaxed geometry. The functional is PBE. Values from VASP.

Computed properties:
The volume comes out at 95.5 Å³ per cell. For the total magnetization, the calculation gives 0.000 Bohr magnetons per cell.

Structure (Quantum ESPRESSO input):
```
&SYSTEM
  ibrav = 0, nat = 4, ntyp = 3
/
ATOMIC_SPECIES
Se 78.96 Se.upf
Co 58.93 Co.upf
Ca 40.08 Ca.upf
CELL_PARAMETERS angstrom
2.1341 0.0000 8.0694
-1.0671 1.8482 8.0694
-1.0671 -1.8482 8.0694
ATOMIC_POSITIONS crystal
Se 0.8818 0.8818 0.8818
Co 0.5000 0.5000 0.5000
Se 0.1182 0.1182 0.1182
Ca 0.0000 0.0000 0.0000
```

---

The structure shown above that is least stable: *1*.